## NaIn2HgPb (PBE-GGA)

Data for a relaxed structure of NaIn2HgPb.

Structure (POSCAR):
```
NaIn2HgPb
1.0
6.356 0.000 0.000
0.000 6.370 0.000
0.000 -3.185 7.447
Na In Hg Pb
2 4 2 2
direct
0.750 0.743 0.486
0.250 0.257 0.514
0.500 0.756 0.000
0.500 0.244 0.000
0.000 0.756 0.000
0.000 0.244 0.000
0.250 0.852 0.704
0.750 0.148 0.296
0.750 0.353 0.706
0.250 0.647 0.294
```

Values from the calculation:
- space group = No. 63
- formation energy from the elements (eV/atom) = -0.04
- N(E_F) (states/eV per cell) = 3.9
- raw total energy (eV/atom) = -2.2023

***

## Na5InHg2Pb2 (PBE-GGA)

Data for a relaxed structure of Na5InHg2Pb2.

Structure (POSCAR):
```
Na5InHg2Pb2
1.0
4.805 0.000 0.000
0.000 10.902 0.000
0.000 0.000 10.902
In Pb Na Hg
2 4 10 4
direct
0.000 0.500 0.500
0.000 0.000 0.000
0.000 0.667 0.167
0.000 0.333 0.833
0.000 0.167 0.333
0.000 0.833 0.667
0.500 0.307 0.585
0.500 0.500 0.000
0.500 0.693 0.415
0.500 0.807 0.915
0.500 0.000 0.500
0.500 0.193 0.085
0.500 0.085 0.807
0.500 0.915 0.193
0.500 0.415 0.307
0.500 0.585 0.693
0.000 0.871 0.371
0.000 0.629 0.871
0.000 0.371 0.129
0.000 0.129 0.629
```

Values from the calculation:
- space group = No. 127
- formation energy from the elements (eV/atom) = -0.08
- N(E_F) (states/eV per cell) = 10.3
- raw total energy (eV/atom) = -1.8203

***

## NaInHg2Pb (PBE-GGA)

Data for a relaxed structure of NaInHg2Pb.

Structure (POSCAR):
```
NaInHg2Pb
1.0
-1.840 4.338 -1.784
-2.397 -2.414 3.716
3.498 3.291 4.396
Hg Na In Pb
2 1 1 1
direct
0.667 0.333 0.834
0.333 0.667 0.163
0.000 0.000 0.997
0.333 0.667 0.656
0.667 0.333 0.350
```

Values from the calculation:
- space group = No. 156
- formation energy from the elements (eV/atom) = -0.07
- N(E_F) (states/eV per cell) = 0.6
- raw total energy (eV/atom) = -1.7420

***

## Na3In4Hg2Pb2 (PBE-GGA)

Data for a relaxed structure of Na3In4Hg2Pb2.

Structure (POSCAR):
```
Na3In4Hg2Pb2
1.0
-2.530 3.940 2.287
-2.503 -3.107 -3.352
-3.445 -8.025 10.012
In Hg Pb Na
4 2 2 3
direct
0.333 0.667 0.359
0.667 0.333 0.641
0.667 0.333 0.123
0.333 0.667 0.877
0.333 0.667 0.122
0.667 0.333 0.878
0.333 0.667 0.600
0.667 0.333 0.400
0.000 0.000 0.258
0.000 0.000 0.742
0.000 0.000 0.000
```

Values from the calculation:
- space group = No. 164
- formation energy from the elements (eV/atom) = -0.09
- N(E_F) (states/eV per cell) = 3.6
- raw total energy (eV/atom) = -2.1753

***

What is the formula in the second record? Na5InHg2Pb2